{
  "formula": "SrTl2BiPd",
  "functional": "PBE",
  "state": "optimized geometry",
  "n_ef_per_ev_cell": 3.91,
  "spacegroup": "P4/mmm, No. 123",
  "formation_enthalpy_0k_ev_per_fu": -1.48,
  "magnetic_moment_mub_per_cell": 0.00,
  "e_tot_ev_per_cell": -17.0,
  "lattice": [[-1.0603, -1.4389, 4.9749], [4.7399, -2.3156, 0.3404], [2.3085, 5.0106, 1.9412]],
  "species": ["Tl", "Tl", "Pd", "Bi", "Sr"],
  "fractional_positions": [[0.0000, 0.5000, 0.0000], [0.5000, 0.0000, 0.0000], [0.0000, 0.0000, 0.0000], [0.5000, 0.5000, 0.5000], [0.0000, 0.0000, 0.5000]]
}